1.
A plane-wave DFT calculation with PBE was carried out for a relaxed KGe2IrPt crystal.

The formation energy from the elements is -0.42 eV per atom. As for the crystal system: tetragonal.

The structure in CIF format:
```
data_KGe2IrPt
_cell_length_a 4.079
_cell_length_b 4.079
_cell_length_c 13.654
_cell_angle_alpha 90.00
_cell_angle_beta 90.00
_cell_angle_gamma 90.00
_space_group_name_H-M_alt 'I -4 m 2'
_space_group_IT_number 119
_space_group_name_Hall 'I -4 -2'
loop_
_atom_site_label
_atom_site_type_symbol
_atom_site_fract_x
_atom_site_fract_y
_atom_site_fract_z
_atom_site_occupancy
K1 K 0.000 0.000 0.000 1
Ge1 Ge 0.000 0.000 0.355 1
Ir1 Ir 0.000 0.500 0.250 1
Pt1 Pt 0.000 0.500 0.750 1
```


2.
A plane-wave DFT calculation with PBE was carried out for a relaxed CoGe2Br8 crystal.

As for the crystal system: monoclinic.

The structure in CIF format:
```
data_CoGe2Br8
_cell_length_a 13.845
_cell_length_b 7.749
_cell_length_c 7.531
_cell_angle_alpha 90.00
_cell_angle_beta 95.19
_cell_angle_gamma 90.00
_space_group_name_H-M_alt 'C 1 2/m 1'
_space_group_IT_number 12
loop_
_space_group_symop_operation_xyz
'x,y,z'
'-x,-y,-z'
'-x,y,-z'
'x,-y,z'
'x+1/2,y+1/2,z'
'-x+1/2,-y+1/2,-z'
'-x+1/2,y+1/2,-z'
'x+1/2,-y+1/2,z'
loop_
_atom_site_label
_atom_site_type_symbol
_atom_site_fract_x
_atom_site_fract_y
_atom_site_fract_z
_atom_site_occupancy
Co1 Co 0.000 0.000 0.000 1
Ge1 Ge 0.142 0.000 0.389 1
Br1 Br 0.089 0.000 0.724 1
Br2 Br 0.108 0.216 0.132 1
Br3 Br 0.184 0.500 0.570 1
```


3.
A plane-wave DFT calculation with PBE was carried out for a relaxed Tb3CeTm7 crystal.

The formation energy from the elements is 0.20 eV per atom. As for the crystal system: trigonal.

The structure in CIF format:
```
data_Tb3CeTm7
_cell_length_a 6.9444
_cell_length_b 6.9444
_cell_length_c 8.5338
_cell_angle_alpha 90.00
_cell_angle_beta 90.00
_cell_angle_gamma 120.00
_space_group_name_H-M_alt 'P 3 m 1'
_space_group_IT_number 156
loop_
_space_group_symop_operation_xyz
'x,y,z'
'-y,x-y,z'
'-x+y,-x,z'
'-y,-x,z'
'-x+y,y,z'
'x,x-y,z'
loop_
_atom_site_label
_atom_site_type_symbol
_atom_site_fract_x
_atom_site_fract_y
_atom_site_fract_z
_atom_site_occupancy
Tb1 Tb 0.0025 0.5013 0.0000 1
Ce1 Ce 0.3333 0.6667 0.3345 1
Tm1 Tm 0.1685 0.3371 0.6615 1
Tm2 Tm 0.3341 0.1671 0.3347 1
Tm3 Tm 0.6667 0.3333 0.6641 1
```


4.
A plane-wave DFT calculation with PBE was carried out for a relaxed CeBPIr6 crystal.

The formation energy from the elements is -0.09 eV per atom. As for the crystal system: orthorhombic.

The structure in CIF format:
```
data_CeBPIr6
_cell_length_a 6.723
_cell_length_b 8.133
_cell_length_c 11.072
_cell_angle_alpha 90.00
_cell_angle_beta 90.00
_cell_angle_gamma 90.00
_space_group_name_H-M_alt 'I m m a'
_space_group_IT_number 74
_space_group_name_Hall '-I 2b 2'
loop_
_atom_site_label
_atom_site_type_symbol
_atom_site_fract_x
_atom_site_fract_y
_atom_site_fract_z
_atom_site_occupancy
Ce1 Ce 0.000 0.250 0.177 1
B1 B 0.000 0.000 0.500 1
P1 P 0.250 0.250 0.750 1
Ir1 Ir 0.000 0.250 0.448 1
Ir2 Ir 0.000 0.250 0.898 1
Ir3 Ir 0.222 0.021 0.627 1
```


no.,final energy (eV per atom)
1,-5.465
2,-3.077
3,-4.443
4,-8.000